1.
# DyVAs2, relaxed, DFT PBE
data_DyVAs2
_chemical_formula_sum 'Dy1 V1 As2'
_space_group_name_H-M_alt 'P 1'
_space_group_IT_number 1
_cell_length_a 9.287
_cell_length_b 9.287
_cell_length_c 9.287
_cell_angle_alpha 20.77
_cell_angle_beta 20.77
_cell_angle_gamma 20.77
loop_
_space_group_symop_operation_xyz
'x,y,z'
loop_
_atom_site_label
_atom_site_fract_x
_atom_site_fract_y
_atom_site_fract_z
Dy1 0.000 0.000 0.000
V1 0.500 0.500 0.500
As1 0.106 0.106 0.106
As2 0.894 0.894 0.894
# * calculated formation energy: -0.155 eV/atom
# * uncorrected energy: -5.909 eV per atom



2.
# Be2FeSb, relaxed, DFT PBE
data_Be2FeSb
_chemical_formula_sum 'Be2 Fe1 Sb1'
_space_group_name_H-M_alt 'P 1'
_space_group_IT_number 1
_cell_length_a 4.731
_cell_length_b 4.731
_cell_length_c 4.731
_cell_angle_alpha 46.95
_cell_angle_beta 46.95
_cell_angle_gamma 46.95
loop_
_space_group_symop_operation_xyz
'x,y,z'
loop_
_atom_site_label
_atom_site_fract_x
_atom_site_fract_y
_atom_site_fract_z
Be1 0.000 0.000 0.000
Be2 0.289 0.289 0.289
Fe1 0.682 0.682 0.682
Sb1 0.480 0.480 0.480
# * uncorrected energy: -4.874 eV per atom



3.
# GdZrHgRh, relaxed, DFT PBE
data_GdZrHgRh
_chemical_formula_sum 'Gd1 Zr1 Hg1 Rh1'
_space_group_name_H-M_alt 'P 1'
_space_group_IT_number 1
_cell_length_a 4.965
_cell_length_b 4.965
_cell_length_c 4.965
_cell_angle_alpha 60.00
_cell_angle_beta 60.00
_cell_angle_gamma 60.00
loop_
_space_group_symop_operation_xyz
'x,y,z'
loop_
_atom_site_label
_atom_site_fract_x
_atom_site_fract_y
_atom_site_fract_z
Gd1 0.000 0.000 0.000
Zr1 0.500 0.500 0.500
Hg1 0.250 0.250 0.250
Rh1 0.750 0.750 0.750
# * calculated formation energy: -0.386 eV/atom
# * uncorrected energy: -7.957 eV per atom



4.
# Pm2GaNi3Ge4, relaxed, DFT PBE
data_Pm2GaNi3Ge4
_chemical_formula_sum 'Pm2 Ga1 Ni3 Ge4'
_space_group_name_H-M_alt 'P 1'
_space_group_IT_number 1
_cell_length_a 4.135
_cell_length_b 4.135
_cell_length_c 10.110
_cell_angle_alpha 90.00
_cell_angle_beta 90.00
_cell_angle_gamma 90.00
loop_
_space_group_symop_operation_xyz
'x,y,z'
loop_
_atom_site_label
_atom_site_fract_x
_atom_site_fract_y
_atom_site_fract_z
Pm1 0.000 0.500 0.241
Pm2 0.500 0.000 0.759
Ga1 0.000 0.000 0.500
Ni1 0.000 0.500 0.879
Ni2 0.500 0.000 0.121
Ni3 0.500 0.500 0.500
Ge1 0.000 0.000 0.000
Ge2 0.000 0.500 0.647
Ge3 0.500 0.000 0.353
Ge4 0.500 0.500 0.000
# * calculated formation energy: -0.657 eV/atom
# * uncorrected energy: -5.491 eV per atom



5.
# TeSeCl3, relaxed, DFT PBE
data_TeSeCl3
_chemical_formula_sum 'Te4 Se4 Cl12'
_space_group_name_H-M_alt 'P 1'
_space_group_IT_number 1
_cell_length_a 7.779
_cell_length_b 7.779
_cell_length_c 15.966
_cell_angle_alpha 91.06
_cell_angle_beta 91.06
_cell_angle_gamma 120.18
loop_
_space_group_symop_operation_xyz
'x,y,z'
loop_
_atom_site_label
_atom_site_fract_x
_atom_site_fract_y
_atom_site_fract_z
Te1 0.005 0.144 0.125
Te2 0.144 0.005 0.625
Te3 0.856 0.995 0.375
Te4 0.995 0.856 0.875
Se1 0.198 0.717 0.681
Se2 0.283 0.802 0.819
Se3 0.717 0.198 0.181
Se4 0.802 0.283 0.319
Cl1 0.044 0.778 0.497
Cl2 0.209 0.248 0.263
Cl3 0.222 0.956 0.003
Cl4 0.229 0.458 0.072
Cl5 0.248 0.209 0.763
Cl6 0.458 0.229 0.572
Cl7 0.542 0.771 0.428
Cl8 0.752 0.791 0.237
Cl9 0.771 0.542 0.928
Cl10 0.778 0.044 0.997
Cl11 0.791 0.752 0.737
Cl12 0.956 0.222 0.503
# * uncorrected energy: -2.881 eV per atom



6.
# KTc, relaxed, DFT PBE
data_KTc
_chemical_formula_sum 'K2 Tc2'
_space_group_name_H-M_alt 'P 1'
_space_group_IT_number 1
_cell_length_a 4.898
_cell_length_b 4.898
_cell_length_c 4.898
_cell_angle_alpha 60.00
_cell_angle_beta 60.00
_cell_angle_gamma 60.00
loop_
_space_group_symop_operation_xyz
'x,y,z'
loop_
_atom_site_label
_atom_site_fract_x
_atom_site_fract_y
_atom_site_fract_z
K1 0.125 0.125 0.125
K2 0.875 0.875 0.875
Tc1 0.375 0.375 0.375
Tc2 0.625 0.625 0.625
# * calculated formation energy: 1.681 eV/atom
# * uncorrected energy: -4.051 eV per atom



7.
# Rb3Na5Hg6, relaxed, DFT PBE
data_Rb3Na5Hg6
_chemical_formula_sum 'Rb3 Na5 Hg6'
_space_group_name_H-M_alt 'P 1'
_space_group_IT_number 1
_cell_length_a 10.349
_cell_length_b 10.349
_cell_length_c 10.349
_cell_angle_alpha 150.82
_cell_angle_beta 109.90
_cell_angle_gamma 77.68
loop_
_space_group_symop_operation_xyz
'x,y,z'
loop_
_atom_site_label
_atom_site_fract_x
_atom_site_fract_y
_atom_site_fract_z
Rb1 0.000 0.000 0.000
Rb2 0.322 0.322 0.000
Rb3 0.678 0.678 0.000
Na1 0.020 0.684 0.336
Na2 0.349 0.684 0.664
Na3 0.500 0.000 0.500
Na4 0.651 0.316 0.336
Na5 0.980 0.316 0.664
Hg1 0.163 0.884 0.280
Hg2 0.280 0.500 0.780
Hg3 0.396 0.116 0.280
Hg4 0.604 0.884 0.720
Hg5 0.720 0.500 0.220
Hg6 0.837 0.116 0.720
# * calculated formation energy: -0.187 eV/atom
# * uncorrected energy: -0.995 eV per atom



8.
# CaAu2, relaxed, DFT PBE
data_CaAu2
_chemical_formula_sum 'Ca2 Au4'
_space_group_name_H-M_alt 'P 1'
_space_group_IT_number 1
_cell_length_a 6.667
_cell_length_b 6.667
_cell_length_c 6.667
_cell_angle_alpha 143.88
_cell_angle_beta 126.06
_cell_angle_gamma 66.65
loop_
_space_group_symop_operation_xyz
'x,y,z'
loop_
_atom_site_label
_atom_site_fract_x
_atom_site_fract_y
_atom_site_fract_z
Ca1 0.178 0.178 0.000
Ca2 0.822 0.822 0.000
Au1 0.238 0.500 0.738
Au2 0.372 0.872 0.500
Au3 0.628 0.128 0.500
Au4 0.762 0.500 0.262
# * calculated formation energy: -0.633 eV/atom
# * uncorrected energy: -3.485 eV per atom



9.
# Dy3Ho7Th, relaxed, DFT PBE
data_Dy3Ho7Th
_chemical_formula_sum 'Dy3 Ho7 Th1'
_space_group_name_H-M_alt 'P 1'
_space_group_IT_number 1
_cell_length_a 7.008
_cell_length_b 7.008
_cell_length_c 8.603
_cell_angle_alpha 90.00
_cell_angle_beta 90.00
_cell_angle_gamma 120.00
loop_
_space_group_symop_operation_xyz
'x,y,z'
loop_
_atom_site_label
_atom_site_fract_x
_atom_site_fract_y
_atom_site_fract_z
Dy1 0.168 0.336 0.000
Dy2 0.168 0.832 0.000
Dy3 0.664 0.832 0.000
Ho1 0.000 0.000 0.334
Ho2 0.005 0.503 0.339
Ho3 0.331 0.166 0.666
Ho4 0.497 0.503 0.339
Ho5 0.497 0.995 0.339
Ho6 0.834 0.166 0.666
Ho7 0.834 0.669 0.666
Th1 0.333 0.667 0.667
# * calculated formation energy: 0.188 eV/atom
# * uncorrected energy: -4.654 eV per atom



10.
# ZrTiAs, relaxed, DFT PBE
data_ZrTiAs
_chemical_formula_sum 'Zr2 Ti2 As2'
_space_group_name_H-M_alt 'P 1'
_space_group_IT_number 1
_cell_length_a 7.918
_cell_length_b 7.918
_cell_length_c 7.918
_cell_angle_alpha 152.29
_cell_angle_beta 152.29
_cell_angle_gamma 39.59
loop_
_space_group_symop_operation_xyz
'x,y,z'
loop_
_atom_site_label
_atom_site_fract_x
_atom_site_fract_y
_atom_site_fract_z
Zr1 0.179 0.179 0.000
Zr2 0.821 0.821 0.000
Ti1 0.000 0.500 0.500
Ti2 0.500 0.000 0.500
As1 0.371 0.371 0.000
As2 0.629 0.629 0.000
# * calculated formation energy: -0.989 eV/atom
# * uncorrected energy: -8.020 eV per atom



11.
# TaTiH2, relaxed, DFT PBE
data_TaTiH2
_chemical_formula_sum 'Ta1 Ti1 H2'
_space_group_name_H-M_alt 'P 1'
_space_group_IT_number 1
_cell_length_a 2.955
_cell_length_b 2.955
_cell_length_c 4.850
_cell_angle_alpha 90.44
_cell_angle_beta 90.44
_cell_angle_gamma 69.90
loop_
_space_group_symop_operation_xyz
'x,y,z'
loop_
_atom_site_label
_atom_site_fract_x
_atom_site_fract_y
_atom_site_fract_z
Ta1 0.000 0.000 0.000
Ti1 0.511 0.511 0.508
H1 0.369 0.369 0.148
H2 0.890 0.890 0.618
# * uncorrected energy: -6.891 eV per atom



12.
# CoW2Se, relaxed, DFT PBE
data_CoW2Se
_chemical_formula_sum 'Co2 W4 Se2'
_space_group_name_H-M_alt 'P 1'
_space_group_IT_number 1
_cell_length_a 6.706
_cell_length_b 6.706
_cell_length_c 6.706
_cell_angle_alpha 131.92
_cell_angle_beta 131.92
_cell_angle_gamma 70.35
loop_
_space_group_symop_operation_xyz
'x,y,z'
loop_
_atom_site_label
_atom_site_fract_x
_atom_site_fract_y
_atom_site_fract_z
Co1 0.000 0.000 0.000
Co2 0.750 0.250 0.500
W1 0.087 0.625 0.962
W2 0.375 0.337 0.462
W3 0.663 0.125 0.038
W4 0.875 0.913 0.538
Se1 0.250 0.750 0.500
Se2 0.500 0.500 0.000
# * uncorrected energy: -8.084 eV per atom